(1)
Material: SmTmScAg
Method: DFT, PBE
State: optimized geometry

The structure in POSCAR format:
```
SmTmScAg
1.0
0.000 3.733 3.733
3.733 0.000 3.733
3.733 3.733 0.000
Sm Tm Sc Ag
1 1 1 1
direct
0.000 0.000 0.000
0.500 0.500 0.500
0.750 0.750 0.750
0.250 0.250 0.250
```

Results
Total DFT energy (no corrections) ... -18.233 eV/cell
DFT formation energy ... 0.035 eV per atom
D(E_F) ... 4.1 states/eV/f.u.
Spin magnetization ... 0.000 μB/atom

***

(2)
Material: SmYScAg
Method: DFT, PBE
State: optimized geometry

The structure in POSCAR format:
```
SmYScAg
1.0
0.000 3.758 3.758
3.758 0.000 3.758
3.758 3.758 0.000
Sm Y Sc Ag
1 1 1 1
direct
0.000 0.000 0.000
0.500 0.500 0.500
0.750 0.750 0.750
0.250 0.250 0.250
```

Results
Total DFT energy (no corrections) ... -20.238 eV/cell
DFT formation energy ... 0.032 eV per atom
D(E_F) ... 4.2 states/eV/f.u.
Spin magnetization ... 0.000 μB/atom

***

(3)
Material: SmScZnAg
Method: DFT, PBE
State: optimized geometry

The structure in POSCAR format:
```
SmScZnAg
1.0
0.000 3.550 3.550
3.550 0.000 3.550
3.550 3.550 0.000
Sm Sc Zn Ag
1 1 1 1
direct
0.000 0.000 0.000
0.500 0.500 0.500
0.250 0.250 0.250
0.750 0.750 0.750
```

Results
Total DFT energy (no corrections) ... -16.262 eV/cell
DFT formation energy ... -0.272 eV per atom
D(E_F) ... 3.7 states/eV/f.u.
Polymorph energy (0 for the lowest one) ... 0.0253 eV per atom
Spin magnetization ... 0.000 μB/atom

***

(4)
Material: SmScZnAg
Method: DFT, PBE
State: optimized geometry

The structure in POSCAR format:
```
SmScZnAg
1.0
3.511 0.000 0.000
0.000 3.511 0.000
0.000 0.000 7.155
Sm Sc Zn Ag
1 1 1 1
direct
0.000 0.000 0.000
0.000 0.000 0.482
0.500 0.500 0.273
0.500 0.500 0.706
```

Results
Total DFT energy (no corrections) ... -16.363 eV/cell
DFT formation energy ... -0.297 eV per atom
D(E_F) ... 4.2 states/eV/f.u.
Polymorph energy (0 for the lowest one) ... 0.0000 eV per atom
Spin magnetization ... 0.000 μB/atom